A plane-wave DFT calculation with PBE was carried out for a relaxed structure of LiTl2Br.

```
LiTl2Br
1.0
3.572 0.000 0.000
0.000 3.572 0.000
-1.702 0.000 9.345
Li Tl Br
1 2 1
direct
0.000 0.000 0.000
0.309 0.500 0.675
0.683 0.000 0.420
0.524 0.500 0.050
```

Formation energy without anion corrections   -0.579 eV/atom
Volume   119.2 Å³ per cell
Calculated density   6.902 g cm⁻³
Space group   Pm